The following is a DFT calculation (PBE) of a geometry-optimized DyInB structure.

It has space group F-43m (No. 216), with a = 6.115 Å, b = 6.115 Å, c = 6.115 Å, α = 90.00°, β = 90.00° and γ = 90.00°. The distinct sites, in fractional coordinates, are Dy at (0.000, 0.000, 0.000), In at (0.000, 0.000, 0.500) and B at (0.250, 0.250, 0.250).

The total magnetization is 0.00 μB per cell.

=====

The following is a DFT calculation (PBE) of a geometry-optimized Dy2Sb2O5 structure.

It has space group P4/mmm (No. 123), with a = 3.989 Å, b = 3.989 Å, c = 8.228 Å, α = 90.00°, β = 90.00° and γ = 90.00°. The distinct sites, in fractional coordinates, are Dy at (0.000, 0.000, 0.000), Dy at (0.000, 0.000, 0.500), Sb at (0.500, 0.500, 0.238), O at (0.000, 0.500, 0.311) and O at (0.500, 0.500, 0.500).

The total magnetization is 0.00 μB per cell. The energy above the most stable polymorph in this dataset is 486 meV/atom.

=====

The following is a DFT calculation (PBE) of a geometry-optimized Sm2Tc2O5 structure.

It has space group P4/mmm (No. 123), with a = 4.005 Å, b = 4.005 Å, c = 6.793 Å, α = 90.00°, β = 90.00° and γ = 90.00°. The distinct sites, in fractional coordinates, are Sm at (0.000, 0.000, 0.000), Sm at (0.000, 0.000, 0.500), Tc at (0.500, 0.500, 0.174), O at (0.000, 0.500, 0.232) and O at (0.500, 0.500, 0.500).

The total magnetization is 0.01 μB per cell. The energy above the most stable polymorph in this dataset is 0 meV/atom.

=====

The following is a DFT calculation (PBE) of a geometry-optimized MgCuNiSe3 structure.

It has space group P2_1/m (No. 11), with a = 7.036 Å, b = 3.844 Å, c = 9.609 Å, α = 90.00°, β = 101.11° and γ = 90.00°. The distinct sites, in fractional coordinates, are Mg at (0.216, 0.250, 0.215), Cu at (0.416, 0.750, 0.413), Ni at (0.042, 0.250, 0.917), Se at (0.056, 0.750, 0.335), Se at (0.235, 0.750, 0.977) and Se at (0.419, 0.750, 0.669).

The total magnetization is 0.90 μB per cell.

=====

The following is a DFT calculation (PBE) of a geometry-optimized LuTeAuO structure.

It has space group P4/nmm (No. 129, origin choice 2), with a = 3.954 Å, b = 3.954 Å, c = 10.045 Å, α = 90.00°, β = 90.00° and γ = 90.00°. The distinct sites, in fractional coordinates, are Lu at (0.250, 0.250, 0.102), Te at (0.250, 0.250, 0.720), Au at (0.250, 0.750, 0.500) and O at (0.250, 0.750, 0.000).

The total magnetization is 0.00 μB per cell. The energy above the most stable polymorph in this dataset is 39 meV/atom.

=====

The following is a DFT calculation (PBE) of a geometry-optimized TbPr2P3 structure.

It has space group P-3m1 (No. 164), with a = 4.1467 Å, b = 4.1467 Å, c = 10.1404 Å, α = 90.00°, β = 90.00° and γ = 120.00°. The distinct sites, in fractional coordinates, are Tb at (0.0000, 0.0000, 0.0000), Pr at (0.3333, 0.6667, 0.3292), P at (0.0000, 0.0000, 0.5000) and P at (0.3333, 0.6667, 0.8423).

The total magnetization is 0.01 μB per cell.

=====

The following is a DFT calculation (PBE) of a geometry-optimized LuGaTcNi structure.

It has space group F-43m (No. 216), with a = 6.401 Å, b = 6.401 Å, c = 6.401 Å, α = 90.00°, β = 90.00° and γ = 90.00°. The distinct sites, in fractional coordinates, are Lu at (0.000, 0.000, 0.000), Ga at (0.250, 0.250, 0.250), Tc at (0.250, 0.250, 0.750) and Ni at (0.000, 0.000, 0.500).

The total magnetization is 5.78 μB per cell. The energy above the most stable polymorph in this dataset is 357 meV/atom.

=====

The following is a DFT calculation (PBE) of a geometry-optimized YHfCoBi structure.

It has space group F-43m (No. 216), with a = 7.023 Å, b = 7.023 Å, c = 7.023 Å, α = 90.00°, β = 90.00° and γ = 90.00°. The distinct sites, in fractional coordinates, are Y at (0.000, 0.000, 0.000), Hf at (0.250, 0.250, 0.750), Co at (0.000, 0.000, 0.500) and Bi at (0.250, 0.250, 0.250).

The total magnetization is 4.36 μB per cell. The energy above the most stable polymorph in this dataset is 0 meV/atom.

=====

The following is a DFT calculation (PBE) of a geometry-optimized HoAgAs structure.

It has space group F-43m (No. 216), with a = 6.531 Å, b = 6.531 Å, c = 6.531 Å, α = 90.00°, β = 90.00° and γ = 90.00°. The distinct sites, in fractional coordinates, are Ho at (0.000, 0.000, 0.000), Ag at (0.250, 0.250, 0.750) and As at (0.000, 0.000, 0.500).

The total magnetization is 0.01 μB per cell.

=====

The following is a DFT calculation (PBE) of a geometry-optimized KBaHgSb structure.

It has space group F-43m (No. 216), with a = 8.387 Å, b = 8.387 Å, c = 8.387 Å, α = 90.00°, β = 90.00° and γ = 90.00°. The distinct sites, in fractional coordinates, are K at (0.000, 0.000, 0.000), Ba at (0.000, 0.000, 0.500), Hg at (0.250, 0.250, 0.250) and Sb at (0.250, 0.250, 0.750).

=====

The following is a DFT calculation (PBE) of a geometry-optimized AgTePbF structure.

It has space group P4/nmm (No. 129, origin choice 2), with a = 4.167 Å, b = 4.167 Å, c = 11.617 Å, α = 90.00°, β = 90.00° and γ = 90.00°. The distinct sites, in fractional coordinates, are Ag at (0.250, 0.250, 0.136), Te at (0.250, 0.250, 0.884), Pb at (0.250, 0.250, 0.625) and F at (0.250, 0.750, 0.500).

The energy above the most stable polymorph in this dataset is 267 meV/atom.

=====

The following is a DFT calculation (PBE) of a geometry-optimized GdTm structure.

It has space group Fm-3m (No. 225), with a = 6.426 Å, b = 6.426 Å, c = 6.426 Å, α = 90.00°, β = 90.00° and γ = 90.00°. The distinct sites, in fractional coordinates, are Gd at (0.000, 0.000, 0.000) and Tm at (0.000, 0.000, 0.500).

The total magnetization is 3.58 μB per cell. The energy above the most stable polymorph in this dataset is 767 meV/atom.

=====

Computed total DFT energy (no corrections) (eV/atom) in order:
-4.671 -6.279 -8.077 -3.937 -5.714 -6.610 -5.703 -6.497 -4.431 -2.530 -3.612 -3.784